This record from Alexandria describes a relaxed structure of SiNi2Pt. The functional is PBE.

Lattice parameters (Å, degrees): 2.7089 2.7089 23.6305 90.00 90.00 120.00
Space group R-3m (No. 166, hexagonal axes)
Inequivalent atoms, fractional coordinates:
1 Si 0.0000 0.0000 0.0000
2 Ni 0.0000 0.0000 0.2597
3 Pt 0.0000 0.0000 0.5000

The calculation puts the raw total energy at -6.07 eV/atom. The calculation puts the volume at 12.51 Å³ per atom.